Record 1
# NaTlI2

A geometry-optimized NaTlI2 structure (PBE-GGA, Alexandria via LeMat-Bulk).

Cell: 8.3544 8.3544 8.3544 Å, 90.00 90.00 90.00°
With the nearest neighbours (Å) after each atom.
Space group Fm-3m (No. 225)
Symmetry-distinct sites (fractional):
Na1 0.0000 0.0000 0.0000 (multiplicity 4)  8 I 3.62
Tl1 0.0000 0.0000 0.5000 (multiplicity 4)  8 I 3.62
I1 0.2500 0.2500 0.2500 (multiplicity 8)  4 Tl 3.62, 4 Na 3.62

Results
Energy: -2.544 eV per atom
Energy above the most stable polymorph in this dataset: 0.42 eV/f.u.
Formation energy from raw total energies: -0.848 eV per atom
Crystal system: cubic
N(E_F): 0.000 states/eV/cell

Record 2
# PmAg2Sn2

A geometry-optimized PmAg2Sn2 structure (PBE-GGA, Alexandria via LeMat-Bulk).

Cell: 4.4803 4.4803 12.1008 Å, 90.00 90.00 90.00°
With the nearest neighbours (Å) after each atom.
Space group I4/mmm (No. 139)
Symmetry-distinct sites (fractional):
Pm1 0.0000 0.0000 0.0000 (multiplicity 2)  8 Sn 3.46, 8 Ag 3.76
Ag1 0.0000 0.5000 0.2500 (multiplicity 4)  4 Sn 2.78
Sn1 0.0000 0.0000 0.3853 (multiplicity 4)  1 Sn 2.77, 4 Ag 2.78

Results
Energy: -4.038 eV per atom
Energy above the most stable polymorph in this dataset: 0.11 eV/f.u.
Crystal system: tetragonal
N(E_F): 2.774 states/eV/cell
Energy of formation: -0.346 eV per atom